{
  "formula": "InAu15",
  "functional": "PBE",
  "state": "relaxed",
  "cell": [[-0.877, -5.603, -1.191], [3.112, 0.078, -2.658], [22.533, -9.048, 26.111]],
  "species": ["Au", "Au", "Au", "Au", "Au", "Au", "Au", "Au", "Au", "Au", "Au", "Au", "Au", "Au", "Au", "Au", "Au", "Au", "Au", "Au", "Au", "Au", "Au", "Au", "Au", "Au", "Au", "Au", "Au", "Au", "In", "In"],
  "frac_coords": [[0.875, 0.750, 0.894], [0.874, 0.750, 0.234], [0.879, 0.750, 0.721], [0.121, 0.250, 0.279], [0.375, 0.750, 0.979], [0.125, 0.250, 0.851], [0.373, 0.750, 0.721], [0.625, 0.250, 0.106], [0.877, 0.750, 0.808], [0.625, 0.250, 0.936], [0.374, 0.750, 0.317], [0.375, 0.750, 0.064], [0.627, 0.250, 0.279], [0.374, 0.750, 0.808], [0.125, 0.250, 0.936], [0.626, 0.250, 0.192], [0.375, 0.750, 0.149], [0.626, 0.250, 0.767], [0.625, 0.250, 0.851], [0.125, 0.250, 0.021], [0.875, 0.750, 0.979], [0.625, 0.250, 0.021], [0.875, 0.750, 0.149], [0.126, 0.250, 0.766], [0.125, 0.250, 0.106], [0.626, 0.250, 0.683], [0.374, 0.750, 0.233], [0.375, 0.750, 0.894], [0.875, 0.750, 0.064], [0.123, 0.250, 0.192], [0.126, 0.250, 0.676], [0.874, 0.750, 0.324]],
  "e_above_lowest_polymorph_ev_per_atom": 0.020
}